Below is a relaxed structure of Li3AgAu5, with properties calculated at the PBE-GGA level.

Results
- Energy above the lowest structure with this stoichiometry: 0.175 eV per atom
- Total energy: -107.33 eV for the cell shown
- ΔH_f (0 K): -1.9 eV/f.u.
- Calculated volume: 17.4 A^3/atom

```
data_Li3AgAu5
_cell_length_a 7.492
_cell_length_b 7.492
_cell_length_c 11.157
_cell_angle_alpha 90.00
_cell_angle_beta 90.00
_cell_angle_gamma 90.00
_symmetry_space_group_name_H-M 'I 4/m c m'
_symmetry_Int_Tables_number 140
_symmetry_space_group_name_Hall '-I 4 2c'
loop_
_atom_site_label
_atom_site_fract_x
_atom_site_fract_y
_atom_site_fract_z
Li1 0.000 0.000 0.250
Li2 0.101 0.399 0.000
Ag1 0.000 0.500 0.250
Au1 0.000 0.000 0.000
Au2 0.217 0.283 0.373
```